No. 1
Below is a relaxed RbSn2Pb2 crystal, with properties calculated at the GGA-PBEsol level.

- V: 34.926 Å³/atom
- Energy of formation: -0.09 eV per atom
- Raw total energy: -3.602 eV per atom

a b c (Å): 5.0731 5.0731 7.6753
angles (deg): 109.30 109.30 90.00
Positions (direct):
Pb: 0.6205 0.6205 0.2410
Pb: 0.3795 0.3795 0.7590
Rb: 0.0000 0.0000 0.0000
Sn: 0.2500 0.7500 0.5000
Sn: 0.7500 0.2500 0.5000

No. 2
Below is a relaxed LaTaZnIr2 crystal, with properties calculated at the GGA-PBEsol level.

- V: 22.392 Å³/atom
- Energy of formation: 0.38 eV per atom
- Raw total energy: -7.450 eV per atom

a b c (Å): 4.7955 4.7955 4.8685
angles (deg): 90.00 90.00 90.00
Positions (direct):
Ir: 0.0000 0.5000 0.0000
Ir: 0.5000 0.0000 0.0000
Ta: 0.0000 0.0000 0.0000
Zn: 0.0000 0.0000 0.5000
La: 0.5000 0.5000 0.5000